(1)
# YPbW2

YPbW2 after structural relaxation (PBE-GGA, Alexandria).

Structure (CIF):
```
data_YPbW2
_space_group_name_H-M_alt 'P 4/m m m'
_space_group_IT_number 123
_space_group_name_Hall '-P 4 2'
_cell_length_a 2.9441
_cell_length_b 2.9441
_cell_length_c 9.7680
_cell_angle_alpha 90.00
_cell_angle_beta 90.00
_cell_angle_gamma 90.00
loop_
_atom_site_label
_atom_site_fract_x
_atom_site_fract_y
_atom_site_fract_z
_atom_site_occupancy
Y1 0.0000 0.0000 0.0000 1
Pb1 0.0000 0.0000 0.5000 1
W1 0.5000 0.5000 0.2514 1
```

Calculated values
- Magnetic moment: 0.00 μB per cell
- Total energy: -0.29475 hartree per atom
- ΔE_f: 999 meV per atom
- Energy relative to the lowest polymorph listed for this composition: 0.737 eV per atom
- Crystal system: tetragonal

(2)
# Y2PbW

Y2PbW after structural relaxation (PBE-GGA, Alexandria).

Structure (CIF):
```
data_Y2PbW
_space_group_name_H-M_alt 'C 1 m 1'
_space_group_IT_number 8
_cell_length_a 11.7149
_cell_length_b 3.1905
_cell_length_c 5.6129
_cell_angle_alpha 90.00
_cell_angle_beta 107.16
_cell_angle_gamma 90.00
loop_
_space_group_symop_operation_xyz
'x,y,z'
'x,-y,z'
'x+1/2,y+1/2,z'
'x+1/2,-y+1/2,z'
loop_
_atom_site_label
_atom_site_fract_x
_atom_site_fract_y
_atom_site_fract_z
_atom_site_occupancy
Y1 0.0000 0.0000 0.0000 1
Y2 0.2021 0.0000 0.6267 1
Pb1 0.2645 0.5000 0.1652 1
W1 0.4663 0.0000 0.5156 1
```

Calculated values
- Magnetic moment: 0.00 μB per cell
- Total energy: -0.26179 hartree per atom
- ΔE_f: 274 meV per atom
- Energy relative to the lowest polymorph listed for this composition: 0.111 eV per atom
- Crystal system: monoclinic